#w
LaPmSmCd GGA-PBE relaxed; total moment = 0.000 μB/f.u.; density of states at the Fermi level = 5.3 states/eV/cell
1.0
-2.729 2.082 1.536
0.629 -1.632 3.329
5.966 6.354 1.988
La Pm Sm Cd
1 1 1 1
Cartesian
0.417 0.444 0.139 La
1.046 2.457 3.131 Pm
3.667 5.248 4.004 Sm
3.418 3.640 1.139 Cd



#x
LaPmSmCd GGA-PBE relaxed; total moment = 0.000 μB/f.u.; density of states at the Fermi level = 5.7 states/eV/cell
1.0
-2.422 3.374 -3.783
-5.595 0.485 -0.156
-2.453 4.775 1.658
Cd La Sm Pm
1 1 1 1
Cartesian
-7.853 6.476 -1.711 Cd
0.000 0.000 0.000 La
-5.235 4.317 -1.141 Sm
-2.618 2.159 -0.570 Pm



Stability, highest: #w



#w
LaPrCd GGA-PBE relaxed; total moment = 0.000 μB/f.u.; density of states at the Fermi level = 11.8 states/eV/cell
1.0
-3.479 0.536 4.182
-2.932 -9.486 -1.222
5.046 -2.135 4.471
La Pr Cd
4 4 4
Cartesian
-0.756 -8.479 2.244 La
-3.415 -2.458 2.833 La
2.051 -8.628 4.598 La
-0.608 -2.607 5.187 La
-4.389 -8.774 2.833 Pr
-0.836 -6.509 5.498 Pr
3.025 -2.312 4.598 Pr
-0.528 -4.576 1.934 Pr
-3.242 -5.778 3.402 Cd
-1.592 -9.671 5.274 Cd
0.228 -1.415 2.157 Cd
1.878 -5.308 4.029 Cd



#x
LaPrCd GGA-PBE relaxed; total moment = 0.000 μB/f.u.; density of states at the Fermi level = 8.3 states/eV/cell
1.0
-0.518 -3.378 -3.503
4.863 -0.501 -0.236
-0.331 -5.932 5.770
La Cd Pr
2 2 2
Cartesian
2.193 -4.518 4.032 La
-0.352 -3.354 -0.132 La
2.172 -1.940 -1.870 Cd
0.000 0.000 0.000 Cd
-0.499 -5.995 2.436 Pr
2.341 -1.877 1.464 Pr



#y
LaPrCd GGA-PBE relaxed; total moment = 0.493 μB/f.u.; density of states at the Fermi level = 3.4 states/eV/cell
1.0
-2.595 1.547 2.419
2.208 -1.011 3.014
3.275 5.435 -3.060
Pr Cd La
1 1 1
Cartesian
1.959 3.627 -0.218 Pr
0.851 2.202 2.600 Cd
0.077 0.143 -0.009 La



#z
LaPrCd GGA-PBE relaxed; total moment = 0.000 μB/f.u.; density of states at the Fermi level = 3.3 states/eV/cell
1.0
3.670 0.000 0.000
0.000 5.381 0.000
0.000 -2.691 4.661
Pr Cd La
1 1 1
Cartesian
3.576 0.000 0.000 Pr
2.498 2.691 1.554 Cd
1.267 0.000 3.107 La



Stability, highest: #y



#w
La5PrCd2 GGA-PBE relaxed; total moment = 0.000 μB/f.u.; density of states at the Fermi level = 20.7 states/eV/cell
1.0
5.073 0.000 0.000
0.000 7.148 0.000
0.000 0.000 14.298
La Pr Cd
10 2 4
Cartesian
0.000 0.000 0.000 La
0.000 3.574 7.149 La
0.000 3.541 10.707 La
0.000 3.607 3.592 La
0.000 0.033 3.557 La
0.000 7.114 10.741 La
2.536 1.826 12.526 La
2.536 5.322 1.772 La
2.536 1.748 5.377 La
2.536 5.400 8.922 La
0.000 0.000 7.149 Pr
0.000 3.574 0.000 Pr
2.536 1.780 8.929 Cd
2.536 5.368 5.369 Cd
2.536 1.794 1.780 Cd
2.536 5.354 12.518 Cd



#x
La5PrCd2 GGA-PBE relaxed; total moment = 0.000 μB/f.u.; density of states at the Fermi level = 20.4 states/eV/cell
1.0
5.430 0.000 0.000
-2.715 6.088 0.000
0.000 0.000 16.380
La Pr Cd
10 2 4
Cartesian
2.715 5.632 14.627 La
2.715 5.632 9.943 La
0.000 4.354 7.765 La
0.000 4.354 0.425 La
2.715 0.479 4.095 La
0.000 5.609 12.285 La
2.715 1.734 8.615 La
2.715 1.734 15.955 La
0.000 0.457 1.753 La
0.000 0.457 6.437 La
2.715 2.728 12.285 Pr
0.000 3.360 4.095 Pr
2.715 3.322 5.824 Cd
2.715 3.322 2.366 Cd
0.000 2.767 10.556 Cd
0.000 2.767 14.014 Cd



Stability, highest: #w



#w
LaPr2Cd GGA-PBE relaxed; total moment = 0.000 μB/f.u.; density of states at the Fermi level = 6.6 states/eV/cell
1.0
5.059 0.000 0.000
0.000 5.036 0.000
0.000 0.000 5.036
Pr Cd La
2 1 1
Cartesian
0.000 0.000 2.518 Pr
0.000 2.518 0.000 Pr
2.529 0.000 0.000 Cd
2.529 2.518 2.518 La



#x
LaPr2Cd GGA-PBE relaxed; total moment = 0.081 μB/f.u.; density of states at the Fermi level = 7.1 states/eV/cell
1.0
-3.256 4.557 0.631
-5.246 -0.538 1.990
-1.260 1.870 5.166
Pr Cd La
2 1 1
Cartesian
-2.441 1.472 1.947 Pr
-7.322 4.417 5.840 Pr
0.000 0.000 0.000 Cd
-4.881 2.945 3.894 La



Stability, highest: #w



#w
LaPr2Cd GGA-PBE relaxed; total moment = 0.000 μB/f.u.; density of states at the Fermi level = 4.8 states/eV/cell
1.0
-0.358 -1.958 -3.150
-1.319 -3.484 0.111
-11.095 2.134 -2.268
La Pr Cd
1 2 1
Cartesian
-6.398 -1.650 -2.655 La
-8.699 1.236 -1.983 Pr
-2.944 -0.921 -1.297 Pr
-12.212 -1.495 -4.294 Cd



#x
LaPr2Cd GGA-PBE relaxed; total moment = 0.000 μB/f.u.; density of states at the Fermi level = 5.2 states/eV/cell
1.0
-3.736 0.702 0.349
-0.564 -3.586 1.181
1.285 2.605 8.522
Pr Cd La
2 1 1
Cartesian
1.000 2.029 6.636 Pr
0.284 0.577 1.886 Pr
-2.150 -1.442 0.765 Cd
-1.508 -0.139 5.026 La



Stability, highest: #x



#w
LaPr2Cd2 GGA-PBE relaxed; total moment = 0.000 μB/f.u.; density of states at the Fermi level = 10.7 states/eV/cell
1.0
5.588 0.000 0.000
0.000 6.744 0.000
-2.794 0.000 8.179
La Pr Cd
2 4 4
Cartesian
2.794 6.171 1.457 La
0.000 2.799 6.722 La
0.000 1.902 0.390 Pr
0.000 4.244 3.327 Pr
2.794 0.872 4.852 Pr
2.794 5.274 7.789 Pr
2.794 2.792 2.019 Cd
0.000 0.845 3.327 Cd
2.794 4.217 4.852 Cd
0.000 6.164 6.160 Cd



#x
LaPr2Cd2 GGA-PBE relaxed; total moment = 0.001 μB/f.u.; density of states at the Fermi level = 13.5 states/eV/cell
1.0
-2.908 2.506 -0.699
-1.302 0.012 5.457
10.368 9.664 2.452
La Pr Cd
2 4 4
Cartesian
3.871 8.965 5.229 La
2.287 3.216 1.980 La
-0.145 1.029 4.289 Pr
6.303 11.152 2.920 Pr
3.233 5.158 5.085 Pr
2.925 7.024 2.124 Pr
0.090 4.353 4.337 Cd
6.067 7.828 2.872 Cd
7.059 9.845 5.987 Cd
-0.901 2.336 1.222 Cd



Stability, highest: #x